First-principles (PBE) data for crystalline Zn2CuSn at its relaxed geometry, as listed in the Open Quantum Materials Database.

Summary:
Symmetry = F-43m
Mass density = 7.498 g/cm³
Raw total energy = -2.3739 eV/atom

```
Zn2CuSn
1.0
0.0000 3.2606 3.2606
3.2606 0.0000 3.2606
3.2606 3.2606 0.0000
Zn Cu Sn
2 1 1
Direct
0.0000 0.0000 0.0000
0.2500 0.2500 0.2500
0.7500 0.7500 0.7500
0.5000 0.5000 0.5000
```

First-principles (PBE) data for crystalline ZnCu2Sn at its relaxed geometry, as listed in the Open Quantum Materials Database.

Summary:
Symmetry = Pm-3m
Mass density = 8.252 g/cm³
Raw total energy = -3.0942 eV/atom

```
ZnCu2Sn
1.0
6.3038 0.0000 0.0000
0.0000 6.3038 0.0000
0.0000 0.0000 6.3038
Zn Cu Sn
4 8 4
Direct
0.0000 0.0000 0.0000
0.0000 0.0000 0.5000
0.0000 0.5000 0.0000
0.5000 0.0000 0.0000
0.2258 0.2258 0.2258
0.2258 0.2258 0.7742
0.2258 0.7742 0.2258
0.2258 0.7742 0.7742
0.7742 0.2258 0.2258
0.7742 0.2258 0.7742
0.7742 0.7742 0.2258
0.7742 0.7742 0.7742
0.0000 0.5000 0.5000
0.5000 0.0000 0.5000
0.5000 0.5000 0.0000
0.5000 0.5000 0.5000
```

First-principles (PBE) data for crystalline ZnCu2Sn at its relaxed geometry, as listed in the Open Quantum Materials Database.

Summary:
Symmetry = Pm-3m
Mass density = 8.253 g/cm³
Raw total energy = -3.0942 eV/atom

```
ZnCu2Sn
1.0
6.3036 0.0000 0.0000
0.0000 6.3036 0.0000
0.0000 0.0000 6.3036
Zn Cu Sn
4 8 4
Direct
0.0000 0.0000 0.0000
0.0000 0.0000 0.5000
0.0000 0.5000 0.0000
0.5000 0.0000 0.0000
0.2256 0.2256 0.2256
0.2256 0.2256 0.7744
0.2256 0.7744 0.2256
0.2256 0.7744 0.7744
0.7744 0.2256 0.2256
0.7744 0.2256 0.7744
0.7744 0.7744 0.2256
0.7744 0.7744 0.7744
0.0000 0.5000 0.5000
0.5000 0.0000 0.5000
0.5000 0.5000 0.0000
0.5000 0.5000 0.5000
```

Computed values of calculated volume (unit: Å³/atom) for the preceding records, in sequence: 17.33 15.66 15.65.